Entry 1:
Crystalline Mn2Zn2P at its relaxed geometry, computed with PBE-GGA.

Geometry as CIF:
```
data_Mn2Zn2P
_chemical_formula_sum 'Mn4 Zn4 P2'
_cell_length_a 5.680
_cell_length_b 5.680
_cell_length_c 4.117
_cell_angle_alpha 90.00
_cell_angle_beta 90.00
_cell_angle_gamma 90.00
_space_group_name_H-M_alt 'P 1'
_space_group_IT_number 1
loop_
_space_group_symop_operation_xyz
'x,y,z'
loop_
_atom_site_label
_atom_site_type_symbol
_atom_site_fract_x
_atom_site_fract_y
_atom_site_fract_z
P1 P 0.000 0.000 0.000
P2 P 0.500 0.500 0.000
Zn1 Zn 0.159 0.659 0.500
Zn2 Zn 0.659 0.841 0.500
Zn3 Zn 0.841 0.341 0.500
Zn4 Zn 0.341 0.159 0.500
Mn1 Mn 0.355 0.855 0.000
Mn2 Mn 0.855 0.645 0.000
Mn3 Mn 0.645 0.145 0.000
Mn4 Mn 0.145 0.355 0.000
```

Output
The space group is P4/mbm. For the total DFT energy (no corrections), the calculation gives -5.37 eV/atom.

=====

Entry 2:
Crystalline Tl2AsOs at its relaxed geometry, computed with PBE-GGA.

Geometry as CIF:
```
data_Tl2AsOs
_chemical_formula_sum 'Tl2 As1 Os1'
_cell_length_a 7.136
_cell_length_b 7.136
_cell_length_c 7.136
_cell_angle_alpha 154.58
_cell_angle_beta 141.93
_cell_angle_gamma 46.34
_space_group_name_H-M_alt 'P 1'
_space_group_IT_number 1
loop_
_space_group_symop_operation_xyz
'x,y,z'
loop_
_atom_site_label
_atom_site_type_symbol
_atom_site_fract_x
_atom_site_fract_y
_atom_site_fract_z
Tl1 Tl 0.055 0.055 0.000
Tl2 Tl 0.742 0.242 0.500
Os1 Os 0.281 0.781 0.500
As1 As 0.422 0.422 0.000
```

Output
The space group is Imm2. For the total DFT energy (no corrections), the calculation gives -4.72 eV/atom. For the offset from the most stable computed form, the calculation gives 0.702 eV per formula unit.